Record 1
Below is an optimized crystal structure of BeTlBiTe3, with properties calculated at the PBE level.

Lattice parameters (Å, degrees): 4.2941 9.9659 9.8864 105.49 90.00 90.00
Atoms (fractional coordinates):
Be: 0.2500 0.0736 0.5904
Be: 0.7500 0.9264 0.4096
Tl: 0.2500 0.1884 0.2180
Tl: 0.7500 0.8116 0.7820
Bi: 0.2500 0.6659 0.1379
Bi: 0.7500 0.3341 0.8621
Te: 0.7500 0.8961 0.1526
Te: 0.2500 0.1039 0.8474
Te: 0.2500 0.8176 0.4808
Te: 0.7500 0.1824 0.5192
Te: 0.7500 0.4448 0.1788
Te: 0.2500 0.5552 0.8212

Computed properties:
The raw formation energy comes out at -0.264 eV/atom. Its total magnetization is 0.0 μB/cell.


Record 2
Below is an optimized crystal structure of BeBi2TeW, with properties calculated at the PBE level.

Lattice parameters (Å, degrees): 5.1639 4.6411 5.1639 90.00 90.00 90.00
Atoms (fractional coordinates):
Be: 0.0000 0.0000 0.0000
Te: 0.5000 0.5000 0.5000
Bi: 0.0000 0.0000 0.5000
Bi: 0.5000 0.0000 0.0000
W: 0.0000 0.5000 0.0000

Computed properties:
The raw formation energy comes out at 1.078 eV/atom. Its total magnetization is 2.8 μB/cell. The calculation puts the energy above the lowest structure with this stoichiometry at 0 meV per atom. For the density of states at the Fermi level, the calculation gives 3.9 states/eV per cell.


Record 3
Below is an optimized crystal structure of BeBi2TeW, with properties calculated at the PBE level.

Lattice parameters (Å, degrees): 5.4909 5.1664 5.4909 90.00 90.00 90.00
Atoms (fractional coordinates):
Be: 0.5000 0.5000 0.5000
Te: 0.0000 0.5000 0.0000
Bi: 0.0000 0.0000 0.5000
Bi: 0.5000 0.0000 0.0000
W: 0.0000 0.0000 0.0000

Computed properties:
The raw formation energy comes out at 1.174 eV/atom. Its total magnetization is 0.0 μB/cell. The calculation puts the energy above the lowest structure with this stoichiometry at 96 meV per atom. For the density of states at the Fermi level, the calculation gives 3.4 states/eV per cell.


Record 4
Below is an optimized crystal structure of ThBeBi, with properties calculated at the PBE level.

Lattice parameters (Å, degrees): 3.9845 5.6335 6.8238 78.60 106.98 90.00
Atoms (fractional coordinates):
Be: 0.7377 0.1271 0.4755
Be: 0.2623 0.8729 0.5245
Th: 0.6354 0.6867 0.2707
Th: 0.3646 0.3133 0.7293
Bi: 0.9042 0.7832 0.8084
Bi: 0.0958 0.2168 0.1916

Computed properties:
Its total magnetization is 0.0 μB/cell. The value obtained for the formation energy is -128.2 meV/atom. For the density of states at the Fermi level, the calculation gives 3.8 states/eV per cell.


Summary of total DFT energy (no corrections) in eV/cell
-41.961; -22.193; -21.711; -30.823
(order as listed above)